The following is a GGA-PBE calculation of an optimized crystal structure of Hf5TiGe4, from Alexandria via LeMat-Bulk.

The space group is C2/m (No. 12) and the conventional cell measures 17.052, 3.635 and 6.811 Å, with angles of 90.00, 101.56 and 90.00 degrees. The distinct sites, in fractional coordinates, are Hf at (0.000, 0.000, 0.000), Hf at (0.188, 0.500, 0.579), Hf at (0.195, 0.500, 0.118), Ti at (0.000, 0.000, 0.500), Ge at (0.057, 0.500, 0.288) and Ge at (0.131, 0.000, 0.819).

The size of the total moment is 0.0 μB/cell. The calculation puts the density of states at the Fermi level at 8.28 states/eV/cell. The mass density comes out at 9.88 g cm⁻³. The formation energy from the elements comes out at -364 meV per atom.

---

The following is a GGA-PBE calculation of an optimized crystal structure of Hf3Ti2Ge4, from Alexandria via LeMat-Bulk.

The space group is C2/m (No. 12) and the conventional cell measures 9.939, 3.950 and 8.433 Å, with angles of 90.00, 92.31 and 90.00 degrees. The distinct sites, in fractional coordinates, are Hf at (0.000, 0.000, 0.000), Hf at (0.145, 0.500, 0.416), Ti at (0.179, 0.500, 0.789), Ge at (0.065, 0.000, 0.639) and Ge at (0.166, 0.500, 0.102).

The size of the total moment is 0.0 μB/cell. The calculation puts the density of states at the Fermi level at 6.44 states/eV/cell. The mass density comes out at 9.25 g cm⁻³. The formation energy from the elements comes out at -502 meV per atom.

---

Question: mass density of number 1 (Hf5TiGe4)?
Answer: 9.88 g cm⁻³

---

Repeat the second record exactly.
The following is a GGA-PBE calculation of an optimized crystal structure of Hf3Ti2Ge4, from Alexandria via LeMat-Bulk.

The space group is C2/m (No. 12) and the conventional cell measures 9.939, 3.950 and 8.433 Å, with angles of 90.00, 92.31 and 90.00 degrees. The distinct sites, in fractional coordinates, are Hf at (0.000, 0.000, 0.000), Hf at (0.145, 0.500, 0.416), Ti at (0.179, 0.500, 0.789), Ge at (0.065, 0.000, 0.639) and Ge at (0.166, 0.500, 0.102).

The size of the total moment is 0.0 μB/cell. The calculation puts the density of states at the Fermi level at 6.44 states/eV/cell. The mass density comes out at 9.25 g cm⁻³. The formation energy from the elements comes out at -502 meV per atom.

---

Question: The lowest mass density belongs to which entry?
Answer: Hf3Ti2Ge4

---

Please write out number 2 again, unchanged.
The following is a GGA-PBE calculation of an optimized crystal structure of Hf3Ti2Ge4, from Alexandria via LeMat-Bulk.

The space group is C2/m (No. 12) and the conventional cell measures 9.939, 3.950 and 8.433 Å, with angles of 90.00, 92.31 and 90.00 degrees. The distinct sites, in fractional coordinates, are Hf at (0.000, 0.000, 0.000), Hf at (0.145, 0.500, 0.416), Ti at (0.179, 0.500, 0.789), Ge at (0.065, 0.000, 0.639) and Ge at (0.166, 0.500, 0.102).

The size of the total moment is 0.0 μB/cell. The calculation puts the density of states at the Fermi level at 6.44 states/eV/cell. The mass density comes out at 9.25 g cm⁻³. The formation energy from the elements comes out at -502 meV per atom.